AcPuVN3: relaxed, PBE.

POSCAR file:
```
AcPuVN3
1.0
3.859 0.000 0.000
-1.929 6.621 0.008
0.000 -1.952 6.976
V Pu N Ac
2 2 6 2
Cartesian
1.929 6.022 2.105 V
0.000 -1.352 4.879 V
1.929 0.876 3.981 Pu
0.000 3.793 3.003 Pu
0.000 5.186 5.018 N
1.929 3.205 4.484 N
1.929 4.192 1.396 N
1.929 -0.516 1.966 N
0.000 1.465 2.500 N
0.000 0.478 5.588 N
1.929 1.732 0.511 Ac
0.000 2.937 6.473 Ac
```

Raw formation energy ... -1.1326 eV per atom
E_tot ... -118.66 eV/cell

=====

MnZn2P: relaxed, PBE.

POSCAR file:
```
MnZn2P
1.0
-2.647 1.261 0.116
-1.265 -2.622 -0.363
-0.110 -0.791 6.106
Mn Zn P
1 2 1
Cartesian
-0.060 -0.433 3.342 Mn
-0.108 -0.779 6.014 Zn
-1.985 -0.891 1.503 Zn
-2.033 -1.236 4.160 P
```

Calculated formation energy ... -0.059 eV/atom
E_tot ... -17.36 eV/cell

=====

EuDyPb: relaxed, PBE.

POSCAR file:
```
EuDyPb
1.0
5.298 0.000 0.000
2.649 4.588 0.000
2.649 1.529 4.326
Dy Pb Eu
1 1 1
Cartesian
0.000 0.000 0.000 Dy
2.649 1.529 1.081 Pb
5.298 3.059 2.163 Eu
```

Calculated formation energy ... 1.692 eV/atom
E_tot ... -13.51 eV/cell

=====

CaIr2Se: relaxed, PBE.

POSCAR file:
```
CaIr2Se
1.0
4.333 0.000 0.000
0.000 4.019 0.000
0.000 0.000 4.019
Ca Ir Se
1 2 1
Cartesian
2.167 0.000 2.009 Ca
0.000 2.009 2.009 Ir
0.000 0.000 0.000 Ir
2.167 2.009 0.000 Se
```

Raw formation energy ... 0.0276 eV per atom
E_tot ... -23.10 eV/cell

=====

Pm4SmAl2: relaxed, PBE.

POSCAR file:
```
Pm4SmAl2
1.0
-2.575 4.734 2.176
-3.649 0.093 -4.522
-0.959 -6.103 4.382
Pm Al Sm
4 2 1
Cartesian
-1.287 2.367 1.088 Pm
-3.860 -1.798 -0.656 Pm
-3.323 0.522 2.692 Pm
-1.825 0.047 -2.261 Pm
-3.154 -2.858 2.486 Al
-4.029 1.582 -0.450 Al
0.000 0.000 0.000 Sm
```

Calculated formation energy ... 0.206 eV/atom
E_tot ... -29.77 eV/cell

=====

Zr2BiPb: relaxed, PBE.

POSCAR file:
```
Zr2BiPb
1.0
4.221 0.000 0.000
2.111 3.656 0.000
2.111 1.219 6.932
Zr Pb Bi
2 1 1
Cartesian
2.111 1.219 1.686 Zr
6.332 3.656 5.245 Zr
0.000 0.000 0.000 Pb
4.221 2.437 3.466 Bi
```

Calculated formation energy ... -0.105 eV/atom
E_tot ... -25.10 eV/cell

=====

SiAgMo3: relaxed, PBE.

POSCAR file:
```
SiAgMo3
1.0
-2.426 -3.426 -1.652
3.632 -2.669 0.201
-1.130 -1.222 4.193
Mo Ag Si
3 1 1
Cartesian
1.816 -1.334 0.100 Mo
-0.565 -0.611 2.097 Mo
-1.213 -1.713 -0.826 Mo
0.038 -3.659 1.371 Ag
0.000 0.000 0.000 Si
```

Raw formation energy ... 1.1114 eV per atom
E_tot ... -35.21 eV/cell

=====

FeGe4Mo2: relaxed, PBE.

POSCAR file:
```
FeGe4Mo2
1.0
-0.325 -2.774 1.387
3.007 1.802 4.308
-6.680 2.623 0.175
Ge Mo Fe
4 2 1
Cartesian
0.821 1.675 3.542 Ge
-3.317 2.225 3.672 Ge
-4.819 -0.024 2.328 Ge
-0.681 -0.574 2.198 Ge
-1.350 0.590 4.369 Mo
-2.648 1.061 1.501 Mo
0.000 0.000 0.000 Fe
```

Calculated formation energy ... -0.010 eV/atom
E_tot ... -48.66 eV/cell